# LaTaTe3 PBE optimized geometry
data_LaTaTe3
_cell_length_a 16.182
_cell_length_b 4.028
_cell_length_c 9.051
_cell_angle_alpha 90.00
_cell_angle_beta 93.06
_cell_angle_gamma 90.00
_space_group_name_H-M_alt 'C 1 2/m 1'
_space_group_IT_number 12
_space_group_name_Hall '-C 2y'
loop_
_atom_site_label
_atom_site_type_symbol
_atom_site_fract_x
_atom_site_fract_y
_atom_site_fract_z
La1 La 0.102 0.000 0.393
Ta1 Ta 0.211 0.500 0.888
Te1 Te 0.059 0.500 0.675
Te2 Te 0.120 0.000 0.027
Te3 Te 0.247 0.000 0.670
# Magnetic moment ... 0.00 Bohr magnetons per cell
# Theoretical density ... 7.9 Mg/m³
# Uncorrected formation energy ... -20.871 kcal/mol of atoms